## SiTcRh2 (PBE)

Data for a relaxed structure of SiTcRh2.

Cell: 2.7662 3.9601 5.2008 Å, 90.00 103.41 90.00°
With the nearest neighbours (Å) after each atom.
Fractional positions:
1 Si 0.0000 0.0000 0.5000  4 Rh 2.45, 2 Tc 2.60
2 Rh 0.6183 0.5000 0.2584  2 Si 2.45, 2 Rh 2.61-2.74, 2 Tc 2.74
3 Rh 0.3817 0.5000 0.7416  2 Si 2.45, 2 Rh 2.61-2.74, 2 Tc 2.74
4 Tc 0.0000 0.0000 0.0000  2 Si 2.60, 8 Rh 2.74-2.75, 2 Tc 2.77

## Properties
- SG: P2/m, No. 10
- Raw formation energy: -327 meV/atom